Entry 1:
## ZrC2S (GGA-PBE)

Data for an optimized crystal structure of ZrC2S.

## Properties
raw total energy = -6.1757 eV per atom
energy above the lowest structure with this stoichiometry = 726 meV/atom
size of the total moment = 0.0 μB/f.u.
E_form (uncorrected) = 1605.1 meV per atom

```
data_ZrC2S
_cell_length_a 5.7745
_cell_length_b 5.7745
_cell_length_c 5.7745
_cell_angle_alpha 90.00
_cell_angle_beta 90.00
_cell_angle_gamma 90.00
_symmetry_space_group_name_H-M 'F m -3 m'
_symmetry_Int_Tables_number 225
_symmetry_space_group_name_Hall '-F 4 2 3'
loop_
_atom_site_label
_atom_site_fract_x
_atom_site_fract_y
_atom_site_fract_z
_atom_site_occupancy
Zr1 0.0000 0.0000 0.0000 1
C1 0.2500 0.2500 0.2500 1
S1 0.0000 0.0000 0.5000 1
```

Entry 2:
## Zr4C2S (GGA-PBE)

Data for an optimized crystal structure of Zr4C2S.

## Properties
raw total energy = -9.0930 eV per atom
size of the total moment = 0.1 μB/f.u.
E_form (uncorrected) = -983.4 meV per atom

```
data_Zr4C2S
_cell_length_a 3.3989
_cell_length_b 3.3989
_cell_length_c 34.5105
_cell_angle_alpha 90.00
_cell_angle_beta 90.00
_cell_angle_gamma 120.00
_symmetry_space_group_name_H-M 'R -3 m'
_symmetry_Int_Tables_number 166
_symmetry_space_group_name_Hall '-R 3 2"'
loop_
_atom_site_label
_atom_site_fract_x
_atom_site_fract_y
_atom_site_fract_z
_atom_site_occupancy
Zr1 0.0000 0.0000 0.1259 1
Zr2 0.0000 0.0000 0.2800 1
C1 0.0000 0.0000 0.4221 1
S1 0.0000 0.0000 0.0000 1
```

Entry 3:
## Zr3CS3 (GGA-PBE)

Data for an optimized crystal structure of Zr3CS3.

## Properties
raw total energy = -8.1648 eV per atom
size of the total moment = 0.0 μB/f.u.
E_form (uncorrected) = -1414.7 meV per atom

```
data_Zr3CS3
_cell_length_a 7.2771
_cell_length_b 3.5286
_cell_length_c 10.0807
_cell_angle_alpha 90.00
_cell_angle_beta 90.99
_cell_angle_gamma 90.00
_symmetry_space_group_name_H-M 'P 1 21/m 1'
_symmetry_Int_Tables_number 11
_symmetry_space_group_name_Hall '-P 2yb'
loop_
_atom_site_label
_atom_site_fract_x
_atom_site_fract_y
_atom_site_fract_z
_atom_site_occupancy
Zr1 0.1010 0.2500 0.3870 1
Zr2 0.1219 0.2500 0.8539 1
Zr3 0.3339 0.7500 0.6241 1
C1 0.1219 0.2500 0.6246 1
S1 0.1347 0.2500 0.1260 1
S2 0.3724 0.7500 0.8739 1
S3 0.3785 0.7500 0.3691 1
```

Entry 4:
## Zr2CS (GGA-PBE)

Data for an optimized crystal structure of Zr2CS.

## Properties
raw total energy = -8.8728 eV per atom
energy above the lowest structure with this stoichiometry = 81 meV/atom
size of the total moment = 0.0 μB/f.u.
E_form (uncorrected) = -1260.9 meV per atom

```
data_Zr2CS
_cell_length_a 3.4599
_cell_length_b 3.4599
_cell_length_c 18.3003
_cell_angle_alpha 90.00
_cell_angle_beta 90.00
_cell_angle_gamma 120.00
_symmetry_space_group_name_H-M 'R -3 m'
_symmetry_Int_Tables_number 166
_symmetry_space_group_name_Hall '-R 3 2"'
loop_
_atom_site_label
_atom_site_fract_x
_atom_site_fract_y
_atom_site_fract_z
_atom_site_occupancy
Zr1 0.0000 0.0000 0.2326 1
C1 0.0000 0.0000 0.5000 1
S1 0.0000 0.0000 0.0000 1
```

Entry 5:
## Zr2CS (GGA-PBE)

Data for an optimized crystal structure of Zr2CS.

## Properties
raw total energy = -8.9535 eV per atom
energy above the lowest structure with this stoichiometry = 0 meV/atom
size of the total moment = 0.0 μB/f.u.
E_form (uncorrected) = -1341.6 meV per atom

```
data_Zr2CS
_cell_length_a 3.4330
_cell_length_b 3.4330
_cell_length_c 12.2542
_cell_angle_alpha 90.00
_cell_angle_beta 90.00
_cell_angle_gamma 120.00
_symmetry_space_group_name_H-M 'P 63/m m c'
_symmetry_Int_Tables_number 194
_symmetry_space_group_name_Hall '-P 6c 2c'
loop_
_atom_site_label
_atom_site_fract_x
_atom_site_fract_y
_atom_site_fract_z
_atom_site_occupancy
Zr1 0.3333 0.6667 0.1008 1
C1 0.0000 0.0000 0.0000 1
S1 0.3333 0.6667 0.7500 1
```

Entry 6:
## ZrC3S (GGA-PBE)

Data for an optimized crystal structure of ZrC3S.

## Properties
raw total energy = -6.3717 eV per atom
energy above the lowest structure with this stoichiometry = 0 meV/atom
size of the total moment = 0.0 μB/f.u.
E_form (uncorrected) = 1697.8 meV per atom

```
data_ZrC3S
_cell_length_a 3.6935
_cell_length_b 3.6935
_cell_length_c 3.6935
_cell_angle_alpha 90.00
_cell_angle_beta 90.00
_cell_angle_gamma 90.00
_symmetry_space_group_name_H-M 'P m -3 m'
_symmetry_Int_Tables_number 221
_symmetry_space_group_name_Hall '-P 4 2 3'
loop_
_atom_site_label
_atom_site_fract_x
_atom_site_fract_y
_atom_site_fract_z
_atom_site_occupancy
Zr1 0.0000 0.0000 0.0000 1
C1 0.0000 0.5000 0.5000 1
S1 0.5000 0.5000 0.5000 1
```

Entry 7:
## ZrCS (GGA-PBE)

Data for an optimized crystal structure of ZrCS.

## Properties
raw total energy = -7.7804 eV per atom
size of the total moment = 0.0 μB/f.u.
E_form (uncorrected) = -480.6 meV per atom

```
data_ZrCS
_cell_length_a 3.4724
_cell_length_b 5.2050
_cell_length_c 11.3027
_cell_angle_alpha 90.00
_cell_angle_beta 90.00
_cell_angle_gamma 90.00
_symmetry_space_group_name_H-M 'I m m m'
_symmetry_Int_Tables_number 71
_symmetry_space_group_name_Hall '-I 2 2'
loop_
_atom_site_label
_atom_site_fract_x
_atom_site_fract_y
_atom_site_fract_z
_atom_site_occupancy
Zr1 0.0000 0.0000 0.1414 1
C1 0.0000 0.3720 0.5000 1
S1 0.0000 0.5000 0.1860 1
```

Entry 8:
## Zr2CS (GGA-PBE)

Data for an optimized crystal structure of Zr2CS.

## Properties
raw total energy = -8.3048 eV per atom
energy above the lowest structure with this stoichiometry = 649 meV/atom
size of the total moment = 0.0 μB/f.u.
E_form (uncorrected) = -692.9 meV per atom

```
data_Zr2CS
_cell_length_a 6.1965
_cell_length_b 3.5778
_cell_length_c 7.0415
_cell_angle_alpha 90.00
_cell_angle_beta 90.09
_cell_angle_gamma 90.00
_symmetry_space_group_name_H-M 'C 1 m 1'
_symmetry_Int_Tables_number 8
_symmetry_space_group_name_Hall 'C -2y'
loop_
_atom_site_label
_atom_site_fract_x
_atom_site_fract_y
_atom_site_fract_z
_atom_site_occupancy
Zr1 0.0000 0.0000 0.0000 1
Zr2 0.1672 0.5000 0.4038 1
C1 0.1668 0.5000 0.1014 1
S1 0.0009 0.0000 0.6338 1
```

Entry 9:
## ZrC2S (GGA-PBE)

Data for an optimized crystal structure of ZrC2S.

## Properties
raw total energy = -6.9015 eV per atom
energy above the lowest structure with this stoichiometry = 0 meV/atom
size of the total moment = 0.0 μB/f.u.
E_form (uncorrected) = 879.4 meV per atom

```
data_ZrC2S
_cell_length_a 5.1950
_cell_length_b 5.1950
_cell_length_c 7.1153
_cell_angle_alpha 90.00
_cell_angle_beta 90.00
_cell_angle_gamma 90.00
_symmetry_space_group_name_H-M 'I -4 2 d'
_symmetry_Int_Tables_number 122
_symmetry_space_group_name_Hall 'I -4 2bw'
loop_
_atom_site_label
_atom_site_fract_x
_atom_site_fract_y
_atom_site_fract_z
_atom_site_occupancy
Zr1 0.0000 0.0000 0.0000 1
C1 0.1618 0.2500 0.6250 1
S1 0.0000 0.0000 0.5000 1
```

Entry 10:
## Zr3CS (GGA-PBE)

Data for an optimized crystal structure of Zr3CS.

## Properties
raw total energy = -7.9888 eV per atom
energy above the lowest structure with this stoichiometry = 478 meV/atom
size of the total moment = 0.0 μB/f.u.
E_form (uncorrected) = -189.6 meV per atom

```
data_Zr3CS
_cell_length_a 4.5183
_cell_length_b 4.5183
_cell_length_c 4.5183
_cell_angle_alpha 90.00
_cell_angle_beta 90.00
_cell_angle_gamma 90.00
_symmetry_space_group_name_H-M 'P m -3 m'
_symmetry_Int_Tables_number 221
_symmetry_space_group_name_Hall '-P 4 2 3'
loop_
_atom_site_label
_atom_site_fract_x
_atom_site_fract_y
_atom_site_fract_z
_atom_site_occupancy
Zr1 0.0000 0.0000 0.5000 1
C1 0.0000 0.0000 0.0000 1
S1 0.5000 0.5000 0.5000 1
```

Entry 11:
## ZrCS3 (GGA-PBE)

Data for an optimized crystal structure of ZrCS3.

## Properties
raw total energy = -4.9333 eV per atom
energy above the lowest structure with this stoichiometry = 735 meV/atom
size of the total moment = 0.0 μB/f.u.
E_form (uncorrected) = 1097.6 meV per atom

```
data_ZrCS3
_cell_length_a 4.9620
_cell_length_b 4.9620
_cell_length_c 4.9620
_cell_angle_alpha 90.00
_cell_angle_beta 90.00
_cell_angle_gamma 90.00
_symmetry_space_group_name_H-M 'P m -3 m'
_symmetry_Int_Tables_number 221
_symmetry_space_group_name_Hall '-P 4 2 3'
loop_
_atom_site_label
_atom_site_fract_x
_atom_site_fract_y
_atom_site_fract_z
_atom_site_occupancy
Zr1 0.0000 0.0000 0.0000 1
C1 0.5000 0.5000 0.5000 1
S1 0.0000 0.0000 0.5000 1
```

Entry 12:
## Zr3CS (GGA-PBE)

Data for an optimized crystal structure of Zr3CS.

## Properties
raw total energy = -8.4667 eV per atom
energy above the lowest structure with this stoichiometry = 0 meV/atom
size of the total moment = 0.0 μB/f.u.
E_form (uncorrected) = -667.6 meV per atom

```
data_Zr3CS
_cell_length_a 3.2907
_cell_length_b 6.3866
_cell_length_c 8.3321
_cell_angle_alpha 90.00
_cell_angle_beta 90.00
_cell_angle_gamma 90.00
_symmetry_space_group_name_H-M 'P m m n'
_symmetry_Int_Tables_number 59
loop_
_symmetry_equiv_pos_as_xyz
'x,y,z'
'-x,-y,-z'
'-x+1/2,-y+1/2,z'
'x+1/2,y+1/2,-z'
'x+1/2,-y,-z'
'-x+1/2,y,z'
'-x,y+1/2,-z'
'x,-y+1/2,z'
loop_
_atom_site_label
_atom_site_fract_x
_atom_site_fract_y
_atom_site_fract_z
_atom_site_occupancy
Zr1 0.2500 0.0204 0.1901 1
Zr2 0.2500 0.2500 0.5199 1
C1 0.2500 0.7500 0.6725 1
S1 0.2500 0.2500 0.9316 1
```

What did the tenth record say?
## Zr3CS (GGA-PBE)

Data for an optimized crystal structure of Zr3CS.

## Properties
raw total energy = -7.9888 eV per atom
energy above the lowest structure with this stoichiometry = 478 meV/atom
size of the total moment = 0.0 μB/f.u.
E_form (uncorrected) = -189.6 meV per atom

```
data_Zr3CS
_cell_length_a 4.5183
_cell_length_b 4.5183
_cell_length_c 4.5183
_cell_angle_alpha 90.00
_cell_angle_beta 90.00
_cell_angle_gamma 90.00
_symmetry_space_group_name_H-M 'P m -3 m'
_symmetry_Int_Tables_number 221
_symmetry_space_group_name_Hall '-P 4 2 3'
loop_
_atom_site_label
_atom_site_fract_x
_atom_site_fract_y
_atom_site_fract_z
_atom_site_occupancy
Zr1 0.0000 0.0000 0.5000 1
C1 0.0000 0.0000 0.0000 1
S1 0.5000 0.5000 0.5000 1
```

Q: What is the raw total energy in the ninth record?
A: -6.9015 eV per atom